DFT (PBEsol) results for a relaxed structure of Bi2Rh.

Unit cell a=6.901 b=6.810 c=6.950 alpha=90.00 beta=117.49 gamma=90.00
Atoms (fractional coordinates):
Bi 0.145 0.143 0.373
Bi 0.145 0.357 0.873
Bi 0.347 0.643 0.674
Bi 0.347 0.857 0.174
Bi 0.653 0.143 0.826
Bi 0.653 0.357 0.326
Bi 0.855 0.643 0.127
Bi 0.855 0.857 0.627
Rh 0.273 0.002 0.789
Rh 0.273 0.498 0.289
Rh 0.727 0.502 0.711
Rh 0.727 0.998 0.211

- electronic total energy (eV/cell) = -69.4
- Fermi-level density of states (states/eV per cell) = 2.6
- ΔH_f (0 K) (eV/atom) = -0.210

---

DFT (PBEsol) results for a relaxed structure of Mn3HgO.

Unit cell a=4.937 b=4.937 c=4.937 alpha=90.00 beta=90.00 gamma=90.00
Atoms (fractional coordinates):
Mn 0.000 0.000 0.500
Mn 0.000 0.500 0.000
Mn 0.500 0.000 0.000
Hg 0.000 0.000 0.000
O 0.500 0.500 0.500

- electronic total energy (eV/cell) = -26.7
- formation energy (no corrections) (eV per atom) = 1.672
- Fermi-level density of states (states/eV per cell) = 2.6

---

DFT (PBEsol) results for a relaxed structure of Cu2Pt.

Unit cell a=8.684 b=8.302 c=4.518 alpha=79.30 beta=69.96 gamma=30.74
Atoms (fractional coordinates):
Cu 0.000 0.000 0.000
Cu 0.079 0.079 0.421
Cu 0.159 0.159 0.841
Cu 0.242 0.242 0.258
Cu 0.498 0.498 0.502
Cu 0.579 0.579 0.921
Cu 0.742 0.742 0.758
Cu 0.826 0.826 0.174
Pt 0.322 0.322 0.678
Pt 0.415 0.415 0.085
Pt 0.660 0.660 0.340
Pt 0.915 0.915 0.585

- electronic total energy (eV/cell) = -63.7
- Fermi-level density of states (states/eV per cell) = 5.3
- ΔH_f (0 K) (eV/atom) = -0.094

---

- Fermi-level density of states of number 1 (Bi2Rh)?
  2.6 states/eV per cell